The following is a DFT calculation (GGA+U) of DyMnTc2O8 after structural relaxation.

Output
electronic total energy: -7.77 eV per atom
Fermi-level density of states: 7.429 states/eV per cell
SG: P-3m1, No. 164
volume: 15.906 Å³/atom
total moment: 8.00 μB per formula unit

Cell lengths 5.927, 5.927, 6.274 Å; angles 90.00, 90.00, 120.00 degrees
Sites, in units of the cell vectors:
Dy (0.000, 0.000, 0.500)
Mn (0.000, 0.000, 0.000)
Tc (0.667, 0.333, 0.170)
Tc (0.333, 0.667, 0.830)
O (0.333, 0.667, 0.107)
O (0.320, 0.160, 0.252)
O (0.840, 0.160, 0.252)
O (0.667, 0.333, 0.893)
O (0.160, 0.840, 0.748)
O (0.680, 0.840, 0.748)
O (0.160, 0.320, 0.748)
O (0.840, 0.680, 0.252)